A plane-wave DFT calculation with PBE with a Hubbard U was carried out for a relaxed structure of LiFe5O3F5.

Results
Calculated total energy (eV per atom): -5.88
Total magnetic moment (μB per cell): 20.0

Unit cell a=6.256 b=6.256 c=6.327 alpha=59.62 beta=59.62 gamma=59.69
Fractional coordinates of all 14 atoms:
Li: 0.610 0.610 0.136
Fe: 0.613 0.136 0.614
Fe: 0.969 0.969 0.061
Fe: 0.624 0.624 0.622
Fe: 0.292 0.292 0.202
Fe: 0.136 0.613 0.614
O: 0.396 0.396 0.818
O: 0.852 0.852 0.442
O: 0.388 0.388 0.375
F: 0.871 0.390 0.357
F: 0.864 0.377 0.887
F: 0.377 0.864 0.887
F: 0.868 0.868 0.875
F: 0.390 0.871 0.357